Record 1
Computed, not measured: a relaxed structure of AcScSi4 at the PBE-GGA level of DFT.

The structure in POSCAR format:
```
AcScSi4
1.0
7.831 0.000 0.000
0.000 15.384 0.000
0.000 0.000 4.067
Ac Sc Si
4 4 16
Cartesian
0.989 2.342 0.000
2.927 10.034 0.000
4.904 5.350 0.000
6.842 13.042 0.000
1.033 6.351 0.000
2.882 14.044 0.000
4.949 1.341 0.000
6.798 9.033 0.000
0.145 10.647 2.033
0.968 8.403 2.033
0.983 14.693 2.033
1.684 12.400 2.033
2.232 4.708 2.033
2.932 7.001 2.033
2.948 0.711 2.033
3.770 2.955 2.033
4.061 12.429 2.033
4.883 14.674 2.033
4.899 8.384 2.033
5.599 10.676 2.033
6.147 2.984 2.033
6.847 0.691 2.033
6.863 6.982 2.033
7.685 4.737 2.033
```

Output
Fermi-level density of states: 9.73 states/eV/cell
Total moment: 0.00 μB per formula unit
Formation energy from raw total energies: -497 meV per atom



Record 2
Computed, not measured: a relaxed structure of AcScSi2 at the PBE-GGA level of DFT.

The structure in POSCAR format:
```
AcScSi2
1.0
7.262 0.000 0.000
0.000 4.468 0.000
0.000 0.000 11.765
Ac Sc Si
4 4 8
Cartesian
0.983 1.117 1.765
2.648 3.351 7.648
4.614 1.117 4.118
6.279 3.351 10.001
0.935 1.117 5.217
2.696 3.351 11.100
4.565 1.117 0.665
6.327 3.351 6.548
0.203 1.117 7.849
1.392 1.117 10.116
2.239 3.351 4.234
3.428 3.351 1.966
3.834 1.117 9.799
5.023 1.117 7.532
5.870 3.351 1.649
7.059 3.351 3.917
```

Output
Fermi-level density of states: 12.91 states/eV/cell
ΔE to the lowest computed polymorph: 0 kJ/mol of formula units
Total moment: 0.00 μB per formula unit
Formation energy from raw total energies: -611 meV per atom



Record 3
Computed, not measured: a relaxed structure of AcSc4Si4 at the PBE-GGA level of DFT.

The structure in POSCAR format:
```
AcSc4Si4
1.0
8.965 0.000 0.000
0.000 8.965 0.000
0.000 0.000 5.276
Ac Sc Si
2 8 8
Cartesian
2.241 2.241 1.319
6.724 6.724 3.957
1.086 5.642 0.701
1.160 7.879 3.339
3.323 5.568 3.339
3.396 7.805 0.701
5.568 1.160 4.574
5.642 3.396 1.936
7.805 1.086 1.936
7.879 3.323 4.574
0.571 8.266 0.766
0.699 5.053 3.404
3.784 8.394 3.404
3.911 5.181 0.766
5.053 3.784 4.510
5.181 0.571 1.872
8.266 3.911 1.872
8.394 0.699 4.510
```

Output
Fermi-level density of states: 11.96 states/eV/cell
Total moment: 0.00 μB per formula unit
Formation energy from raw total energies: -581 meV per atom



Record 4
Computed, not measured: a relaxed structure of Ac3ScSi6 at the PBE-GGA level of DFT.

The structure in POSCAR format:
```
Ac3ScSi6
1.0
5.985 3.456 3.892
-5.985 3.456 3.892
0.000 -6.911 3.892
Ac Sc Si
6 2 12
Cartesian
-3.367 1.080 4.865
-2.618 -2.376 6.811
0.748 -3.456 4.865
-0.748 3.456 6.811
2.618 2.376 4.865
3.367 -1.080 6.811
0.000 0.000 0.000
0.000 0.000 5.838
-0.432 -2.257 1.948
-1.739 1.503 1.948
-1.739 -1.503 3.889
2.171 0.755 1.948
-0.432 2.257 3.889
2.171 -0.755 3.889
-2.171 0.755 7.786
0.432 -2.257 7.786
-2.171 -0.755 9.727
1.739 1.503 7.786
1.739 -1.503 9.727
0.432 2.257 9.727
```

Output
Fermi-level density of states: 13.54 states/eV/cell
Total moment: 0.00 μB per formula unit
Formation energy from raw total energies: -455 meV per atom



Record 5
Computed, not measured: a relaxed structure of AcScSi2 at the PBE-GGA level of DFT.

The structure in POSCAR format:
```
AcScSi2
1.0
3.701 0.000 0.000
0.000 3.701 0.000
0.000 0.000 6.601
Ac Sc Si
1 1 2
Cartesian
0.000 0.000 0.000
0.000 0.000 3.300
1.851 1.851 2.103
1.851 1.851 4.498
```

Output
Fermi-level density of states: 2.52 states/eV/cell
ΔE to the lowest computed polymorph: 38 kJ/mol of formula units
Total moment: 0.00 μB per formula unit
Formation energy from raw total energies: -513 meV per atom



Record 6
Computed, not measured: a relaxed structure of AcScSi2Tc at the PBE-GGA level of DFT.

The structure in POSCAR format:
```
AcScSi2Tc
1.0
4.224 0.000 0.000
0.000 4.224 0.000
0.000 0.000 11.655
Ac Sc Si Tc
2 2 4 2
Cartesian
0.000 0.000 0.000
2.112 2.112 5.828
0.000 2.112 8.741
2.112 0.000 2.914
0.000 0.000 4.526
0.000 0.000 7.129
2.112 2.112 1.301
2.112 2.112 10.354
0.000 2.112 2.914
2.112 0.000 8.741
```

Output
Fermi-level density of states: 7.21 states/eV/cell
Total moment: 0.00 μB per formula unit
Formation energy from raw total energies: -566 meV per atom



Record 7
Computed, not measured: a relaxed structure of AcScZnSi at the PBE-GGA level of DFT.

The structure in POSCAR format:
```
AcScZnSi
1.0
7.233 0.000 0.000
0.000 7.233 0.000
0.000 0.000 7.233
Ac Sc Zn Si
4 4 4 4
Cartesian
0.000 0.000 0.000
0.000 3.617 3.617
3.617 0.000 3.617
3.617 3.617 0.000
0.000 0.000 3.617
0.000 3.617 0.000
3.617 0.000 0.000
3.617 3.617 3.617
1.808 1.808 5.425
1.808 5.425 1.808
5.425 1.808 1.808
5.425 5.425 5.425
1.808 1.808 1.808
1.808 5.425 5.425
5.425 1.808 5.425
5.425 5.425 1.808
```

Output
Fermi-level density of states: 7.02 states/eV/cell
Total moment: 0.00 μB per formula unit
Formation energy from raw total energies: -286 meV per atom



Record 8
Computed, not measured: a relaxed structure of Ac2SmSc at the PBE-GGA level of DFT.

The structure in POSCAR format:
```
Ac2SmSc
1.0
5.383 0.000 0.000
0.000 5.383 0.000
0.000 0.000 5.014
Ac Sm Sc
2 1 1
Cartesian
0.000 2.691 0.000
2.691 0.000 0.000
0.000 0.000 2.507
2.691 2.691 2.507
```

Output
Fermi-level density of states: 5.78 states/eV/cell
ΔE to the lowest computed polymorph: 5 kJ/mol of formula units
Total moment: 0.00 μB per formula unit
Formation enthalpy at 0 K: 0.0862 eV per atom



Record 9
Computed, not measured: a relaxed structure of Ac3Sm12Sc at the PBE-GGA level of DFT.

The structure in POSCAR format:
```
Ac3Sm12Sc
1.0
5.202 0.000 0.000
0.000 5.202 0.000
0.000 0.000 20.727
Ac Sm Sc
3 12 1
Cartesian
0.000 0.000 0.000
0.000 0.000 5.289
0.000 0.000 15.439
0.000 2.601 2.647
0.000 2.601 7.966
0.000 2.601 12.762
0.000 2.601 18.081
2.601 0.000 2.647
2.601 0.000 7.966
2.601 0.000 12.762
2.601 0.000 18.081
2.601 2.601 0.000
2.601 2.601 5.317
2.601 2.601 10.364
2.601 2.601 15.411
0.000 0.000 10.364
```

Output
Fermi-level density of states: 26.91 states/eV/cell
Total moment: 0.00 μB per formula unit
Formation enthalpy at 0 K: 0.0435 eV per atom



Record 10
Computed, not measured: a relaxed structure of Ac2SmSc at the PBE-GGA level of DFT.

The structure in POSCAR format:
```
Ac2SmSc
1.0
8.356 0.000 0.000
0.000 8.356 0.000
0.000 0.000 8.356
Ac Sm Sc
8 4 4
Cartesian
2.089 2.089 2.089
2.089 2.089 6.267
2.089 6.267 2.089
2.089 6.267 6.267
6.267 2.089 2.089
6.267 2.089 6.267
6.267 6.267 2.089
6.267 6.267 6.267
0.000 0.000 0.000
0.000 4.178 4.178
4.178 0.000 4.178
4.178 4.178 0.000
0.000 0.000 4.178
0.000 4.178 0.000
4.178 0.000 0.000
4.178 4.178 4.178
```

Output
Fermi-level density of states: 29.71 states/eV/cell
ΔE to the lowest computed polymorph: 18 kJ/mol of formula units
Total moment: 0.00 μB per formula unit
Formation enthalpy at 0 K: 0.1181 eV per atom



Record 11
Computed, not measured: a relaxed structure of AcSm6Sc at the PBE-GGA level of DFT.

The structure in POSCAR format:
```
AcSm6Sc
1.0
5.144 0.000 0.000
0.000 5.144 0.000
0.000 0.000 10.213
Ac Sm Sc
1 6 1
Cartesian
0.000 0.000 0.000
0.000 2.572 2.689
0.000 2.572 7.524
2.572 0.000 2.689
2.572 0.000 7.524
2.572 2.572 0.000
2.572 2.572 5.107
0.000 0.000 5.107
```

Output
Fermi-level density of states: 13.57 states/eV/cell
Total moment: 0.00 μB per formula unit
Formation enthalpy at 0 K: 0.0516 eV per atom



Record 12
Computed, not measured: a relaxed structure of Ac2SmSc at the PBE-GGA level of DFT.

The structure in POSCAR format:
```
Ac2SmSc
1.0
3.675 0.000 0.000
-1.837 3.183 0.000
0.000 0.000 38.447
Ac Sm Sc
6 3 3
Cartesian
0.000 0.000 3.290
0.000 0.000 35.157
0.000 2.122 22.341
0.000 2.122 28.922
1.837 1.061 9.525
1.837 1.061 16.106
0.000 0.000 19.224
0.000 2.122 6.408
1.837 1.061 32.039
0.000 0.000 0.000
0.000 2.122 25.631
1.837 1.061 12.816
```

Output
Fermi-level density of states: 21.18 states/eV/cell
ΔE to the lowest computed polymorph: 98 kJ/mol of formula units
Total moment: 0.00 μB per formula unit
Formation enthalpy at 0 K: 0.3258 eV per atom



Q: total moment of number 8 (Ac2SmSc)?
A: 0.00 μB per formula unit



Repeat the fourth record exactly.
Computed, not measured: a relaxed structure of Ac3ScSi6 at the PBE-GGA level of DFT.

The structure in POSCAR format:
```
Ac3ScSi6
1.0
5.985 3.456 3.892
-5.985 3.456 3.892
0.000 -6.911 3.892
Ac Sc Si
6 2 12
Cartesian
-3.367 1.080 4.865
-2.618 -2.376 6.811
0.748 -3.456 4.865
-0.748 3.456 6.811
2.618 2.376 4.865
3.367 -1.080 6.811
0.000 0.000 0.000
0.000 0.000 5.838
-0.432 -2.257 1.948
-1.739 1.503 1.948
-1.739 -1.503 3.889
2.171 0.755 1.948
-0.432 2.257 3.889
2.171 -0.755 3.889
-2.171 0.755 7.786
0.432 -2.257 7.786
-2.171 -0.755 9.727
1.739 1.503 7.786
1.739 -1.503 9.727
0.432 2.257 9.727
```

Output
Fermi-level density of states: 13.54 states/eV/cell
Total moment: 0.00 μB per formula unit
Formation energy from raw total energies: -455 meV per atom



Q: Which of these has the lowest Fermi-level density of states?
A: number 5